(1)
Density functional theory data (meta-GGA SCAN) for a PBEsol-optimized structure of ZnGeTe2.

Lattice parameters (Å, degrees): 3.5458 3.5458 28.3758 90.00 90.00 120.00
Space group R-3m (No. 166, hexagonal axes)
One atom of each set of equivalent atoms:
Zn 0.0000 0.0000 0.0000 x3
Ge 0.0000 0.0000 0.5000 x3
Te 0.0000 0.0000 0.3971 x6

**Formation energy without anion corrections**: 282.8 meV per atom
**D(E_F)**: 4.4 states/eV per cell

=====

(2)
Density functional theory data (meta-GGA SCAN) for a PBEsol-optimized structure of Li3Ag.

Lattice parameters (Å, degrees): 6.365 6.365 6.365 90.00 90.00 90.00
Space group Fm-3m (No. 225)
One atom of each set of equivalent atoms:
Li 0.000 0.000 0.000 x4
Li 0.250 0.250 0.250 x8
Ag 0.000 0.000 0.500 x4

**Energy of formation**: -0.657 eV/f.u.
**Offset from the most stable computed form**: 0 meV/atom
**D(E_F)**: 5.4 states/eV per cell

=====

(3)
Density functional theory data (meta-GGA SCAN) for a PBEsol-optimized structure of TlWSe2.

Lattice parameters (Å, degrees): 3.050 3.050 8.875 90.00 90.00 90.00
Space group P4mm (No. 99)
One atom of each set of equivalent atoms:
Tl 0.000 0.000 0.000 x1
W 0.500 0.500 0.242 x1
Se 0.000 0.000 0.402 x1
Se 0.500 0.500 0.731 x1

**Offset from the most stable computed form**: 0 meV/atom
**Formation energy without anion corrections**: 457.7 meV per atom
**D(E_F)**: 1.4 states/eV per cell

=====

(4)
Density functional theory data (meta-GGA SCAN) for a PBEsol-optimized structure of Zr2CuSb.

Lattice parameters (Å, degrees): 3.612 4.538 9.340 90.00 90.00 90.00
Space group Imm2 (No. 44)
One atom of each set of equivalent atoms:
Zr 0.000 0.000 0.000 x2
Zr 0.000 0.500 0.231 x2
Cu 0.000 0.500 0.744 x2
Sb 0.000 0.000 0.455 x2

**Formation energy without anion corrections**: -364.8 meV per atom
**D(E_F)**: 5.4 states/eV per cell

=====

| no. | VASP energy (eV per atom) |
| --- | --- |
| 1 | -26.493 |
| 2 | -9.798 |
| 3 | -45.093 |
| 4 | -28.829 |